Record 1
VASP calculation (PBE) on crystalline Be4VRe at its relaxed geometry.

Geometry as CIF:
```
data_Be4VRe
_chemical_formula_sum 'Be16 V4 Re4'
_space_group_name_H-M_alt 'F -4 3 m'
_space_group_IT_number 216
_space_group_name_Hall 'F -4 2 3'
_cell_length_a 6.1471
_cell_length_b 6.1471
_cell_length_c 6.1471
_cell_angle_alpha 90.00
_cell_angle_beta 90.00
_cell_angle_gamma 90.00
loop_
_atom_site_label
_atom_site_type_symbol
_atom_site_fract_x
_atom_site_fract_y
_atom_site_fract_z
_atom_site_occupancy
Be1 Be 0.1255 0.1255 0.1255 1
V1 V 0.2500 0.2500 0.7500 1
Re1 Re 0.0000 0.0000 0.5000 1
```

Values from the calculation:
**Energy relative to the elements**: -421.5 meV per atom
**Total moment**: 0.00 μB/f.u.

Record 2
VASP calculation (PBE) on crystalline BeVRe at its relaxed geometry.

Geometry as CIF:
```
data_BeVRe
_chemical_formula_sum 'Be2 V2 Re2'
_space_group_name_H-M_alt 'I 4 m m'
_space_group_IT_number 107
_space_group_name_Hall 'I 4 -2'
_cell_length_a 3.0874
_cell_length_b 3.0874
_cell_length_c 7.8397
_cell_angle_alpha 90.00
_cell_angle_beta 90.00
_cell_angle_gamma 90.00
loop_
_atom_site_label
_atom_site_type_symbol
_atom_site_fract_x
_atom_site_fract_y
_atom_site_fract_z
_atom_site_occupancy
Be1 Be 0.0000 0.0000 0.0000 1
V1 V 0.0000 0.0000 0.3321 1
Re1 Re 0.0000 0.0000 0.6618 1
```

Values from the calculation:
**Energy relative to the elements**: -167.7 meV per atom
**Total moment**: 0.00 μB/f.u.

Record 3
VASP calculation (PBE) on crystalline Be3VRe at its relaxed geometry.

Geometry as CIF:
```
data_Be3VRe
_chemical_formula_sum 'Be3 V1 Re1'
_space_group_name_H-M_alt 'P m -3 m'
_space_group_IT_number 221
_space_group_name_Hall '-P 4 2 3'
_cell_length_a 4.1700
_cell_length_b 4.1700
_cell_length_c 4.1700
_cell_angle_alpha 90.00
_cell_angle_beta 90.00
_cell_angle_gamma 90.00
loop_
_atom_site_label
_atom_site_type_symbol
_atom_site_fract_x
_atom_site_fract_y
_atom_site_fract_z
_atom_site_occupancy
Be1 Be 0.0000 0.0000 0.5000 1
V1 V 0.5000 0.5000 0.5000 1
Re1 Re 0.0000 0.0000 0.0000 1
```

Values from the calculation:
**Energy relative to the elements**: 1015.6 meV per atom
**Total moment**: 2.13 μB/f.u.

Record 4
VASP calculation (PBE) on crystalline BeVRe at its relaxed geometry.

Geometry as CIF:
```
data_BeVRe
_chemical_formula_sum 'Be1 V1 Re1'
_space_group_name_H-M_alt 'P 3 m 1'
_space_group_IT_number 156
_cell_length_a 4.1360
_cell_length_b 4.1360
_cell_length_c 2.5777
_cell_angle_alpha 90.00
_cell_angle_beta 90.00
_cell_angle_gamma 120.00
loop_
_space_group_symop_operation_xyz
'x,y,z'
'-y,x-y,z'
'-x+y,-x,z'
'-y,-x,z'
'-x+y,y,z'
'x,x-y,z'
loop_
_atom_site_label
_atom_site_type_symbol
_atom_site_fract_x
_atom_site_fract_y
_atom_site_fract_z
_atom_site_occupancy
Be1 Be 0.0000 0.0000 0.0000 1
V1 V 0.3333 0.6667 0.6580 1
Re1 Re 0.6667 0.3333 0.3481 1
```

Values from the calculation:
**Energy relative to the elements**: -117.2 meV per atom
**Total moment**: 0.00 μB/f.u.

Record 5
VASP calculation (PBE) on crystalline Be3VRe at its relaxed geometry.

Geometry as CIF:
```
data_Be3VRe
_chemical_formula_sum 'Be3 V1 Re1'
_space_group_name_H-M_alt 'P m -3 m'
_space_group_IT_number 221
_space_group_name_Hall '-P 4 2 3'
_cell_length_a 3.9319
_cell_length_b 3.9319
_cell_length_c 3.9319
_cell_angle_alpha 90.00
_cell_angle_beta 90.00
_cell_angle_gamma 90.00
loop_
_atom_site_label
_atom_site_type_symbol
_atom_site_fract_x
_atom_site_fract_y
_atom_site_fract_z
_atom_site_occupancy
Be1 Be 0.0000 0.0000 0.5000 1
V1 V 0.0000 0.0000 0.0000 1
Re1 Re 0.5000 0.5000 0.5000 1
```

Values from the calculation:
**Energy relative to the elements**: 1513.8 meV per atom
**Total moment**: 1.65 μB/f.u.

Record 6
VASP calculation (PBE) on crystalline Be8V3Re at its relaxed geometry.

Geometry as CIF:
```
data_Be8V3Re
_chemical_formula_sum 'Be8 V3 Re1'
_space_group_name_H-M_alt 'P 3 m 1'
_space_group_IT_number 156
_cell_length_a 4.3469
_cell_length_b 4.3469
_cell_length_c 7.0907
_cell_angle_alpha 90.00
_cell_angle_beta 90.00
_cell_angle_gamma 120.00
loop_
_space_group_symop_operation_xyz
'x,y,z'
'-y,x-y,z'
'-x+y,-x,z'
'-y,-x,z'
'-x+y,y,z'
'x,x-y,z'
loop_
_atom_site_label
_atom_site_type_symbol
_atom_site_fract_x
_atom_site_fract_y
_atom_site_fract_z
_atom_site_occupancy
Be1 Be 0.0000 0.0000 0.0000 1
Be2 Be 0.0000 0.0000 0.4971 1
Be3 Be 0.1703 0.3406 0.7478 1
Be4 Be 0.3415 0.1707 0.2470 1
V1 V 0.3333 0.6667 0.0651 1
V2 V 0.3333 0.6667 0.4333 1
V3 V 0.6667 0.3333 0.9312 1
Re1 Re 0.6667 0.3333 0.5611 1
```

Values from the calculation:
**Energy relative to the elements**: -331.6 meV per atom
**Total moment**: 0.00 μB/f.u.

Record 7
VASP calculation (PBE) on crystalline BeVRe2 at its relaxed geometry.

Geometry as CIF:
```
data_BeVRe2
_chemical_formula_sum 'Be4 V4 Re8'
_space_group_name_H-M_alt 'I -4 2 d'
_space_group_IT_number 122
_space_group_name_Hall 'I -4 2bw'
_cell_length_a 7.0940
_cell_length_b 7.0940
_cell_length_c 4.4653
_cell_angle_alpha 90.00
_cell_angle_beta 90.00
_cell_angle_gamma 90.00
loop_
_atom_site_label
_atom_site_type_symbol
_atom_site_fract_x
_atom_site_fract_y
_atom_site_fract_z
_atom_site_occupancy
Be1 Be 0.0000 0.0000 0.0000 1
V1 V 0.0000 0.0000 0.5000 1
Re1 Re 0.1637 0.2500 0.1250 1
```

Values from the calculation:
**Energy relative to the elements**: 525.2 meV per atom
**Total moment**: 0.00 μB/f.u.

Record 8
VASP calculation (PBE) on crystalline BeVRe2 at its relaxed geometry.

Geometry as CIF:
```
data_BeVRe2
_chemical_formula_sum 'Be1 V1 Re2'
_space_group_name_H-M_alt 'P 4/m m m'
_space_group_IT_number 123
_space_group_name_Hall '-P 4 2'
_cell_length_a 3.0723
_cell_length_b 3.0723
_cell_length_c 5.5011
_cell_angle_alpha 90.00
_cell_angle_beta 90.00
_cell_angle_gamma 90.00
loop_
_atom_site_label
_atom_site_type_symbol
_atom_site_fract_x
_atom_site_fract_y
_atom_site_fract_z
_atom_site_occupancy
Be1 Be 0.0000 0.0000 0.0000 1
V1 V 0.0000 0.0000 0.5000 1
Re1 Re 0.5000 0.5000 0.2306 1
```

Values from the calculation:
**Energy relative to the elements**: -82.3 meV per atom
**Total moment**: 0.00 μB/f.u.

Record 9
VASP calculation (PBE) on crystalline Be2ReW at its relaxed geometry.

Geometry as CIF:
```
data_Be2ReW
_chemical_formula_sum 'Be4 Re2 W2'
_space_group_name_H-M_alt 'C m m m'
_space_group_IT_number 65
_space_group_name_Hall '-C 2 2'
_cell_length_a 3.2108
_cell_length_b 4.1532
_cell_length_c 7.4411
_cell_angle_alpha 90.00
_cell_angle_beta 90.00
_cell_angle_gamma 90.00
loop_
_atom_site_label
_atom_site_type_symbol
_atom_site_fract_x
_atom_site_fract_y
_atom_site_fract_z
_atom_site_occupancy
Be1 Be 0.0000 0.0000 0.2444 1
Re1 Re 0.0000 0.5000 0.0000 1
W1 W 0.0000 0.5000 0.5000 1
```

Values from the calculation:
**Energy relative to the elements**: 180.1 meV per atom
**Total moment**: 0.00 μB/f.u.

Record 10
VASP calculation (PBE) on crystalline Be2ReW at its relaxed geometry.

Geometry as CIF:
```
data_Be2ReW
_chemical_formula_sum 'Be4 Re2 W2'
_space_group_name_H-M_alt 'I m m m'
_space_group_IT_number 71
_space_group_name_Hall '-I 2 2'
_cell_length_a 3.1721
_cell_length_b 4.1671
_cell_length_c 7.5415
_cell_angle_alpha 90.00
_cell_angle_beta 90.00
_cell_angle_gamma 90.00
loop_
_atom_site_label
_atom_site_type_symbol
_atom_site_fract_x
_atom_site_fract_y
_atom_site_fract_z
_atom_site_occupancy
Be1 Be 0.0000 0.0000 0.2457 1
Re1 Re 0.0000 0.5000 0.5000 1
W1 W 0.0000 0.5000 0.0000 1
```

Values from the calculation:
**Energy relative to the elements**: 152.2 meV per atom
**Total moment**: 0.00 μB/f.u.

Record 11
VASP calculation (PBE) on crystalline BeReW at its relaxed geometry.

Geometry as CIF:
```
data_BeReW
_chemical_formula_sum 'Be8 Re8 W8'
_space_group_name_H-M_alt 'F m m m'
_space_group_IT_number 69
_space_group_name_Hall '-F 2 2'
_cell_length_a 4.7037
_cell_length_b 8.0642
_cell_length_c 8.0712
_cell_angle_alpha 90.00
_cell_angle_beta 90.00
_cell_angle_gamma 90.00
loop_
_atom_site_label
_atom_site_type_symbol
_atom_site_fract_x
_atom_site_fract_y
_atom_site_fract_z
_atom_site_occupancy
Be1 Be 0.2500 0.2500 0.2500 1
Re1 Re 0.0000 0.1660 0.0000 1
W1 W 0.0000 0.0000 0.3357 1
```

Values from the calculation:
**Energy relative to the elements**: -190.9 meV per atom
**Total moment**: 0.00 μB/f.u.

Record 12
VASP calculation (PBE) on crystalline BeReW at its relaxed geometry.

Geometry as CIF:
```
data_BeReW
_chemical_formula_sum 'Be1 Re1 W1'
_space_group_name_H-M_alt 'P 3 m 1'
_space_group_IT_number 156
_cell_length_a 4.2612
_cell_length_b 4.2612
_cell_length_c 2.6582
_cell_angle_alpha 90.00
_cell_angle_beta 90.00
_cell_angle_gamma 120.00
loop_
_space_group_symop_operation_xyz
'x,y,z'
'-y,x-y,z'
'-x+y,-x,z'
'-y,-x,z'
'-x+y,y,z'
'x,x-y,z'
loop_
_atom_site_label
_atom_site_type_symbol
_atom_site_fract_x
_atom_site_fract_y
_atom_site_fract_z
_atom_site_occupancy
Be1 Be 0.0000 0.0000 0.0000 1
Re1 Re 0.3333 0.6667 0.2920 1
W1 W 0.6667 0.3333 0.6017 1
```

Values from the calculation:
**Energy relative to the elements**: 99.4 meV per atom
**Total moment**: 0.00 μB/f.u.